# Er2AlF8

An optimized crystal structure of Er2AlF8 (PBE-GGA, the Alexandria database).

## Properties
The uncorrected energy is -6.163 eV/atom. The value obtained for the density of states at the Fermi level is 0.25 states/eV/atom.

Cell lengths 4.582, 5.812, 5.812 Å; angles 75.62, 105.03, 105.03 degrees
Fractional coordinates of all 11 atoms:
F (0.770, 0.122, 0.122)
F (0.743, 0.688, 0.044)
F (0.257, 0.956, 0.312)
F (0.743, 0.044, 0.688)
F (0.821, 0.587, 0.587)
F (0.230, 0.878, 0.878)
F (0.257, 0.312, 0.956)
F (0.179, 0.413, 0.413)
Er (0.631, 0.330, 0.330)
Er (0.369, 0.670, 0.670)
Al (0.000, 0.000, 0.000)


# ErAl9Fe2

An optimized crystal structure of ErAl9Fe2 (PBE-GGA, the Alexandria database).

## Properties
For the energy of formation from the pure elements, the calculation gives -0.292 eV per atom. The value obtained for the density of states at the Fermi level is 0.55 states/eV/atom.

Cell lengths 6.716, 8.211, 8.211 Å; angles 80.37, 65.86, 65.86 degrees
Fractional coordinates of all 24 atoms:
Al (0.688, 0.180, 0.575)
Al (0.000, 0.000, 0.000)
Al (0.062, 0.320, 0.925)
Al (0.737, 0.575, 0.820)
Al (0.688, 0.575, 0.180)
Al (0.750, 0.500, 0.500)
Al (0.618, 0.075, 0.320)
Al (0.443, 0.425, 0.820)
Al (0.737, 0.820, 0.575)
Al (0.618, 0.320, 0.075)
Al (0.013, 0.925, 0.680)
Al (0.062, 0.925, 0.320)
Al (0.443, 0.820, 0.425)
Al (0.307, 0.075, 0.680)
Al (0.132, 0.180, 0.425)
Al (0.132, 0.425, 0.180)
Al (0.307, 0.680, 0.075)
Al (0.013, 0.680, 0.925)
Fe (0.875, 0.250, 0.250)
Fe (0.875, 0.250, 0.750)
Fe (0.375, 0.750, 0.750)
Fe (0.875, 0.750, 0.250)
Er (0.500, 0.000, 0.000)
Er (0.250, 0.500, 0.500)


# Er4Al16Fe3

An optimized crystal structure of Er4Al16Fe3 (PBE-GGA, the Alexandria database).

## Properties
For the energy of formation from the pure elements, the calculation gives -0.405 eV per atom. The value obtained for the density of states at the Fermi level is 0.51 states/eV/atom.

Cell lengths 6.006, 6.006, 11.170 Å; angles 90.00, 90.00, 90.00 degrees
Fractional coordinates of all 23 atoms:
Al (0.751, 0.751, 0.615)
Al (0.249, 0.751, 0.385)
Al (0.249, 0.249, 0.615)
Al (0.751, 0.249, 0.385)
Al (0.000, 0.000, 0.788)
Al (0.000, 0.000, 0.212)
Al (0.500, 0.500, 0.195)
Al (0.249, 0.751, 0.615)
Al (0.725, 0.725, 0.000)
Al (0.275, 0.275, 0.000)
Al (0.249, 0.249, 0.385)
Al (0.751, 0.751, 0.385)
Al (0.275, 0.725, 0.000)
Al (0.500, 0.500, 0.805)
Al (0.725, 0.275, 0.000)
Al (0.751, 0.249, 0.615)
Er (0.000, 0.500, 0.808)
Er (0.000, 0.500, 0.192)
Er (0.500, 0.000, 0.808)
Er (0.500, 0.000, 0.192)
Fe (0.000, 0.500, 0.500)
Fe (0.500, 0.000, 0.500)
Fe (0.000, 0.000, 0.000)


# ErAl4Fe8

An optimized crystal structure of ErAl4Fe8 (PBE-GGA, the Alexandria database).

## Properties
For the energy of formation from the pure elements, the calculation gives -0.230 eV per atom. The value obtained for the density of states at the Fermi level is 0.84 states/eV/atom.

Cell lengths 6.475, 6.475, 6.475 Å; angles 98.34, 98.34, 135.22 degrees
Fractional coordinates of all 13 atoms:
Al (0.000, 0.655, 0.655)
Al (0.655, 0.000, 0.655)
Al (0.000, 0.345, 0.345)
Al (0.345, 0.000, 0.345)
Fe (0.000, 0.000, 0.500)
Fe (0.500, 0.730, 0.230)
Fe (0.500, 0.500, 0.500)
Fe (0.270, 0.500, 0.770)
Fe (0.500, 0.000, 0.000)
Fe (0.000, 0.500, 0.000)
Fe (0.730, 0.500, 0.230)
Fe (0.500, 0.270, 0.770)
Er (0.000, 0.000, 0.000)


# ErAlFe

An optimized crystal structure of ErAlFe (PBE-GGA, the Alexandria database).

## Properties
For the energy of formation from the pure elements, the calculation gives -0.315 eV per atom. The value obtained for the density of states at the Fermi level is 0.73 states/eV/atom.

Cell lengths 5.362, 5.362, 8.529 Å; angles 90.00, 90.00, 59.93 degrees
Fractional coordinates of all 12 atoms:
Fe (0.328, 0.829, 0.750)
Fe (0.009, 0.009, 0.512)
Fe (0.009, 0.009, 0.988)
Fe (0.829, 0.328, 0.750)
Al (0.836, 0.836, 0.750)
Al (0.674, 0.162, 0.250)
Al (0.165, 0.165, 0.250)
Al (0.162, 0.674, 0.250)
Er (0.662, 0.662, 0.450)
Er (0.662, 0.662, 0.050)
Er (0.332, 0.332, 0.934)
Er (0.332, 0.332, 0.566)


# ErAl6Fe6

An optimized crystal structure of ErAl6Fe6 (PBE-GGA, the Alexandria database).

## Properties
For the energy of formation from the pure elements, the calculation gives -0.388 eV per atom. The value obtained for the density of states at the Fermi level is 0.66 states/eV/atom.

Cell lengths 6.538, 6.538, 6.538 Å; angles 135.23, 99.12, 97.56 degrees
Fractional coordinates of all 13 atoms:
Fe (0.500, 0.000, 0.000)
Fe (0.240, 0.500, 0.740)
Fe (0.500, 0.500, 0.500)
Fe (0.760, 0.500, 0.260)
Fe (0.000, 0.000, 0.500)
Fe (0.000, 0.500, 0.000)
Al (0.191, 0.691, 0.500)
Al (0.337, 0.000, 0.337)
Al (0.809, 0.309, 0.500)
Al (0.654, 0.654, 0.000)
Al (0.663, 0.000, 0.663)
Al (0.346, 0.346, 0.000)
Er (0.000, 0.000, 0.000)